# ScVOF2

A geometry-optimized ScVOF2 structure (GGA+U, Alexandria).

Cell lengths 4.124, 4.124, 4.104 Å; angles 90.00, 90.00, 90.00 degrees
Fractional coordinates of all 5 atoms:
Sc1 0.000 0.000 0.000
V1 0.500 0.500 0.500
O1 0.000 0.000 0.500
F1 0.000 0.500 0.000
F2 0.500 0.000 0.000

Calculated values
Polymorph energy (0 for the lowest one), meV/atom: 0
Theoretical density, g/cm3: 3.57
Total DFT energy (no corrections), eV per atom: -6.814
Total moment, μB per formula unit: 3.998
Space group: P4/mmm (123)